(1)
Crystalline YHgIr2S at its relaxed geometry. Source: Alexandria via LeMat-Bulk, functional PBE.

```
YHgIr2S
1.0
-4.333 0.295 2.482
2.329 -0.669 4.146
0.600 4.944 0.460
Ir S Y Hg
2 1 1 1
Direct
0.500 0.000 0.000 Ir
0.000 0.000 0.500 Ir
0.000 0.500 0.000 S
0.500 0.500 0.500 Y
0.000 0.000 0.000 Hg
```

***

(2)
HgSbIr, optimized geometry, DFT PBE; energy relative to the lowest polymorph listed for this composition = 27 meV per atom
1.0
-5.196 -1.015 -4.521
-6.347 -2.199 -1.832
-1.784 2.577 0.371
Hg Sb Ir
1 1 1
Direct
0.976 0.976 0.024 Hg
0.703 0.703 0.297 Sb
0.322 0.322 0.678 Ir

***

Taking the records one at a time from the top gives VASP energy values of -23.2; -12.8 eV/cell.